The following is a GGA-PBE calculation of a relaxed Pm5P crystal, from Alexandria via LeMat-Bulk.

Summary:
Space-group type: Cmmm
Raw total energy in Ry per atom: -0.372
Total magnetization in μB per formula unit: 0.0
D(E_F) in states/eV per cell: 6.8

```
Pm5P
1.0
4.891 0.000 0.000
0.000 4.609 0.000
0.000 -2.305 7.623
Pm P
5 1
Direct
0.000 0.648 0.296
0.000 0.352 0.704
0.500 0.500 0.000
0.500 0.841 0.682
0.500 0.159 0.318
0.000 0.000 0.000
```

The following is a GGA-PBE calculation of a relaxed Mg2SbTe crystal, from Alexandria via LeMat-Bulk.

Summary:
Energy relative to the elements, uncorrected in kJ/mol of formula units: -150
Space-group type: Cm
Raw total energy in Ry per atom: -0.221
ΔE to the lowest computed polymorph in meV per atom: 79
Total magnetization in μB per formula unit: 0.0
D(E_F) in states/eV per cell: 2.4

```
Mg2SbTe
1.0
7.565 0.425 -0.669
6.283 4.235 -0.669
0.356 0.120 3.990
Te Mg Sb
1 2 1
Direct
0.748 0.748 0.876
0.943 0.943 0.875
0.302 0.302 0.375
0.506 0.506 0.374
```

The following is a GGA-PBE calculation of a relaxed Nd2NpSbN5 crystal, from Alexandria via LeMat-Bulk.

Summary:
Energy relative to the elements, uncorrected in kJ/mol of formula units: -631
Space-group type: Cmc2_1
Raw total energy in Ry per atom: -0.611
Total magnetization in μB per formula unit: 0.0
D(E_F) in states/eV per cell: 4.2

```
Nd2NpSbN5
1.0
-1.904 -1.931 2.340
7.047 -1.898 1.426
0.766 8.716 7.816
N Sb Nd Np
10 2 4 2
Direct
0.285 0.569 0.425
0.715 0.431 0.925
0.372 0.744 0.975
0.871 0.742 0.619
0.215 0.430 0.641
0.628 0.256 0.475
0.785 0.570 0.141
0.129 0.258 0.119
0.496 0.993 0.257
0.504 0.007 0.757
0.570 0.140 0.915
0.430 0.860 0.415
0.867 0.735 0.823
0.955 0.909 0.122
0.045 0.091 0.622
0.133 0.265 0.323
0.246 0.493 0.048
0.754 0.507 0.548
```

The following is a GGA-PBE calculation of a relaxed SbIrSe4 crystal, from Alexandria via LeMat-Bulk.

Summary:
Energy relative to the elements, uncorrected in kJ/mol of formula units: 619
Space-group type: F-43m
Raw total energy in Ry per atom: -0.251
ΔE to the lowest computed polymorph in meV per atom: 1379
Total magnetization in μB per formula unit: 0.0
D(E_F) in states/eV per cell: 6.5

```
SbIrSe4
1.0
-4.409 0.374 3.468
-3.868 4.002 -0.792
-5.136 -1.376 -1.825
Sb Ir Se
1 1 4
Direct
0.000 0.000 0.000
0.750 0.750 0.750
0.378 0.867 0.378
0.378 0.378 0.867
0.378 0.378 0.378
0.867 0.378 0.378
```